# 1
A relaxed structure of CsP2SO, computed with PBEsol.

```
CsP2SO
1.0
6.319 0.000 0.000
0.000 7.405 0.000
0.000 0.000 7.405
S P Cs O
1 2 1 1
Direct
0.500 0.000 0.000
0.000 0.000 0.500
0.000 0.500 0.000
0.000 0.000 0.000
0.500 0.500 0.500
```

Values from the calculation:
The space-group type is P4/mmm (123). The uncorrected formation energy comes out at 2.22 eV per atom.

# 2
A relaxed structure of Li2TcW, computed with PBEsol.

```
Li2TcW
1.0
4.250 0.000 0.000
2.125 3.681 0.000
2.125 1.227 3.470
Tc Li W
1 2 1
Direct
0.500 0.500 0.500
0.000 0.000 0.000
0.750 0.750 0.750
0.250 0.250 0.250
```

Values from the calculation:
The space-group type is F-43m (216). The value obtained for the formation enthalpy at 0 K is 468 meV/atom. The energy above the most stable polymorph in this dataset is 0.126 eV/atom.

# 3
A relaxed structure of CsTi2O3F3, computed with PBEsol.

```
CsTi2O3F3
1.0
-1.401 -4.616 5.272
-2.693 -4.528 -4.828
6.825 2.402 -0.852
O F Ti Cs
6 6 4 2
Direct
0.933 0.433 0.866
0.562 0.438 0.500
0.938 0.062 0.500
0.567 0.067 0.134
0.836 0.836 0.672
0.164 0.164 0.328
0.795 0.795 0.000
0.205 0.205 0.000
0.947 0.447 0.500
0.198 0.802 0.000
0.553 0.053 0.500
0.802 0.198 0.000
0.858 0.615 0.741
0.883 0.126 0.741
0.874 0.117 0.259
0.385 0.142 0.259
0.250 0.750 0.500
0.500 0.500 0.000
```

Values from the calculation:
The space-group type is F222 (22). The uncorrected formation energy comes out at -3.10 eV per atom.

# 4
A relaxed structure of KSrZn3, computed with PBEsol.

```
KSrZn3
1.0
-0.011 2.098 5.098
-4.520 -2.922 1.192
3.156 -4.178 1.726
Zn Sr K
3 1 1
Direct
0.000 0.000 0.500
0.000 0.500 0.000
0.500 0.000 0.000
0.500 0.500 0.500
0.000 0.000 0.000
```

Values from the calculation:
The space-group type is Pm-3m (221). The value obtained for the formation enthalpy at 0 K is 651 meV/atom.

# 5
A relaxed structure of TbMgTl, computed with PBEsol.

```
TbMgTl
1.0
4.612 0.000 0.000
0.000 7.470 0.000
0.000 -3.735 6.469
Mg Tb Tl
3 3 3
Direct
0.500 0.757 0.000
0.500 0.000 0.757
0.500 0.243 0.243
0.000 0.430 0.000
0.000 0.570 0.570
0.000 0.000 0.430
0.500 0.667 0.333
0.000 0.000 0.000
0.500 0.333 0.667
```

Values from the calculation:
The space-group type is P-62m (189). The value obtained for the formation enthalpy at 0 K is -394 meV/atom.

# 6
A relaxed structure of LaSi2, computed with PBEsol.

```
LaSi2
1.0
3.541 0.000 0.000
0.000 5.612 0.000
0.000 0.000 7.330
La Si
2 4
Direct
0.500 0.500 0.500
0.000 0.000 0.000
0.751 0.000 0.392
0.249 0.000 0.608
0.251 0.500 0.108
0.749 0.500 0.892
```

Values from the calculation:
The space-group type is Pnnm (58). The uncorrected formation energy comes out at -0.10 eV per atom.

Total moment readings, ordered: 9.00, 0.00, 0.00, 0.00, 0.00, 0.00 μB/cell